[1]
{"formula": "Ac12Tl6In", "functional": "PBE-GGA", "state": "relaxed", "de_polymorph_mev_per_atom": 0.0, "lattice_angstrom": [[-5.571, -5.999, 5.627], [-0.648, -2.827, -9.501], [9.465, -0.519, 2.971]], "species": ["Ac", "Ac", "Ac", "Ac", "Ac", "Ac", "Ac", "Ac", "Ac", "Ac", "Ac", "Ac", "Tl", "Tl", "Tl", "Tl", "Tl", "Tl", "In"], "frac_coords": [[0.287, 0.105, 0.818], [0.287, 0.469, 0.182], [0.713, 0.531, 0.818], [0.713, 0.895, 0.182], [0.105, 0.818, 0.287], [0.469, 0.182, 0.287], [0.531, 0.818, 0.713], [0.895, 0.182, 0.713], [0.818, 0.287, 0.105], [0.182, 0.287, 0.469], [0.818, 0.713, 0.531], [0.182, 0.713, 0.895], [0.369, 0.500, 0.869], [0.631, 0.500, 0.131], [0.500, 0.869, 0.369], [0.500, 0.131, 0.631], [0.869, 0.369, 0.500], [0.131, 0.631, 0.500], [0.000, 0.000, 0.000]]}

[2]
{"formula": "AcTlIn", "functional": "PBE-GGA", "state": "relaxed", "de_polymorph_mev_per_atom": 16.5, "lattice_angstrom": [[-1.566, 2.818, -3.033], [-3.154, -3.571, -1.688], [-1.473, 3.139, 3.677]], "species": ["Ac", "Tl", "In"], "frac_coords": [[0.675, 0.667, 0.333], [0.075, 0.000, 0.000], [0.251, 0.333, 0.667]]}

[3]
{"formula": "AcYTlIn", "functional": "PBE-GGA", "state": "relaxed", "lattice_angstrom": [[-2.052, -1.712, 4.931], [-4.600, -3.203, 0.163], [0.391, -5.395, 1.479]], "species": ["Y", "Ac", "Tl", "In"], "frac_coords": [[0.500, 0.500, 0.500], [0.000, 0.000, 0.000], [0.750, 0.750, 0.750], [0.250, 0.250, 0.250]]}

[4]
{"formula": "Ac2TlZn3In4", "functional": "PBE-GGA", "state": "relaxed", "lattice_angstrom": [[4.755, 0.000, 0.000], [0.000, 4.755, 0.000], [0.000, 0.000, 11.469]], "species": ["Ac", "Ac", "Tl", "Zn", "Zn", "Zn", "In", "In", "In", "In"], "frac_coords": [[0.500, 0.000, 0.245], [0.000, 0.500, 0.755], [0.500, 0.500, 0.500], [0.000, 0.000, 0.500], [0.500, 0.000, 0.872], [0.000, 0.500, 0.128], [0.500, 0.500, 0.000], [0.000, 0.000, 0.000], [0.500, 0.000, 0.644], [0.000, 0.500, 0.356]]}

[5]
{"formula": "AcTmIn", "functional": "PBE-GGA", "state": "relaxed", "de_polymorph_mev_per_atom": 300.1, "lattice_angstrom": [[-1.096, -1.487, 3.262], [1.878, -2.895, 1.466], [10.263, 9.188, 9.794]], "species": ["Ac", "Ac", "Tm", "Tm", "In", "In"], "frac_coords": [[0.581, 0.581, 0.257], [0.419, 0.419, 0.743], [0.307, 0.307, 0.079], [0.693, 0.693, 0.921], [0.857, 0.857, 0.430], [0.143, 0.143, 0.570]]}

[6]
{"formula": "Ac3TmIn3", "functional": "PBE-GGA", "state": "relaxed", "lattice_angstrom": [[7.189, 0.671, 0.141], [-2.602, 6.735, 0.141], [-0.583, -0.942, 9.938]], "species": ["Ac", "Ac", "Ac", "Ac", "Ac", "Ac", "Tm", "Tm", "In", "In", "In", "In", "In", "In"], "frac_coords": [[0.608, 0.608, 0.319], [0.179, 0.821, 0.500], [0.821, 0.179, 0.500], [0.247, 0.753, 0.000], [0.753, 0.247, 0.000], [0.392, 0.392, 0.681], [0.734, 0.734, 0.959], [0.266, 0.266, 0.041], [0.987, 0.987, 0.221], [0.920, 0.545, 0.735], [0.545, 0.920, 0.735], [0.080, 0.455, 0.265], [0.455, 0.080, 0.265], [0.013, 0.013, 0.779]]}

no.,formation enthalpy at 0 K (kcal/mol of atoms),DFT total energy (eV/cell)
1,-4.194,-69.7
2,-8.507,-10.3
3,-8.823,-17.2
4,-7.096,-28.4
5,-0.223,-22.7
6,-5.998,-53.7